1.
NaMgNiSb | PBE | relaxed

Properties
The value obtained for the total magnetization is 0.00 μB/atom. Its excess energy over the best structure of this formula in the dataset is 77 meV per atom. As for the total energy: -3.15 eV/atom. As for the crystal system: cubic.

a = 4.7296 Å, b = 4.7296 Å, c = 4.7296 Å
α = 60.00°, β = 60.00°, γ = 60.00°
Last column: nearest neighbours and their distance in Å.
Fractional coordinates of all 4 atoms:
Na1 0.0000 0.0000 0.0000  4 Mg 2.90, 4 Ni 2.90
Mg1 0.7500 0.7500 0.7500  4 Na 2.90, 4 Sb 2.90
Ni1 0.2500 0.2500 0.2500  4 Sb 2.90, 4 Na 2.90
Sb1 0.5000 0.5000 0.5000  4 Ni 2.90, 4 Mg 2.90

=====

2.
Dy2TmSn3Pd3 | PBE | relaxed

Properties
The value obtained for the total magnetization is 0.00 μB/atom. As for the total energy: -5.51 eV/atom. As for the crystal system: orthorhombic.

a = 3.8634 Å, b = 7.6282 Å, c = 7.6282 Å
α = 119.83°, β = 90.00°, γ = 90.00°
Last column: nearest neighbours and their distance in Å.
Fractional coordinates of all 9 atoms:
Dy1 0.0000 0.2011 0.7989  5 Pd 3.03-3.08, 6 Sn 3.20-3.33
Dy2 0.0000 0.7989 0.2011  5 Pd 3.03-3.08, 6 Sn 3.20-3.33
Tm1 0.0000 0.3972 0.3972  5 Pd 3.01-3.06, 6 Sn 3.21-3.32
Sn1 0.5000 0.0620 0.0620  4 Pd 2.80-2.84
Sn2 0.5000 0.5352 0.7983  4 Pd 2.78-2.87
Sn3 0.5000 0.7983 0.5352  4 Pd 2.78-2.87
Pd1 0.0000 0.7970 0.7970  6 Sn 2.78-2.80, 1 Tm 3.06, 2 Dy 3.08
Pd2 0.5000 0.1347 0.4647  3 Sn 2.84-2.87, 2 Tm 3.01, 4 Dy 3.03-3.04
Pd3 0.5000 0.4647 0.1347  3 Sn 2.84-2.87, 2 Tm 3.01, 4 Dy 3.03-3.04

=====

3.
Y2SiPd | PBE | relaxed

Properties
The value obtained for the total magnetization is 0.00 μB/atom. As for the total energy: -6.08 eV/atom. As for the crystal system: cubic.

a = 4.8657 Å, b = 4.8657 Å, c = 4.8657 Å
α = 60.00°, β = 60.00°, γ = 60.00°
Last column: nearest neighbours and their distance in Å.
Fractional coordinates of all 4 atoms:
Y1 0.0000 0.0000 0.0000  4 Pd 2.98, 4 Y 2.98
Y2 0.2500 0.2500 0.2500  4 Si 2.98, 4 Y 2.98
Si1 0.5000 0.5000 0.5000  4 Pd 2.98, 4 Y 2.98
Pd1 0.7500 0.7500 0.7500  4 Si 2.98, 4 Y 2.98

=====

4.
Fe3C8Br16N8 | PBE | relaxed

Properties
The value obtained for the total magnetization is 0.40 μB/atom. As for the total energy: -5.31 eV/atom. As for the crystal system: triclinic.

a = 8.1796 Å, b = 9.5906 Å, c = 12.4159 Å
α = 77.47°, β = 87.74°, γ = 89.19°
Last column: nearest neighbours and their distance in Å.
Fractional coordinates of all 35 atoms:
Fe1 0.0000 0.0000 0.0000  6 N 2.10-2.12
Fe2 0.3703 0.7498 0.7126  4 Br 2.33-2.37
Fe3 0.6297 0.2502 0.2874  4 Br 2.33-2.37
C1 0.0497 0.6655 0.3565  1 N 1.17
C2 0.1204 0.0293 0.2417  1 N 1.17
C3 0.1589 0.6771 0.0472  1 N 1.17
C4 0.3338 0.1404 0.8683  1 N 1.17
C5 0.6662 0.8596 0.1317  1 N 1.17
C6 0.8411 0.3229 0.9528  1 N 1.17
C7 0.8796 0.9707 0.7583  1 N 1.17
C8 0.9503 0.3345 0.6435  1 N 1.17
Br1 0.1295 0.6218 0.7660  1 Fe 2.33
Br2 0.1376 0.3480 0.5624  1 C 1.79
Br3 0.1890 0.0280 0.3768  1 C 1.79
Br4 0.2575 0.5065 0.0799  1 C 1.79
Br5 0.3070 0.9853 0.6201  1 Fe 2.36
Br6 0.4735 0.3688 0.4021  1 Fe 2.34
Br7 0.4802 0.2271 0.1322  1 Fe 2.37
Br8 0.4891 0.7780 0.2061  1 C 1.78
Br9 0.5109 0.2220 0.7939  1 C 1.78
Br10 0.5198 0.7729 0.8678  1 Fe 2.37
Br11 0.5265 0.6312 0.5979  1 Fe 2.34
Br12 0.6930 0.0147 0.3799  1 Fe 2.36
Br13 0.7425 0.4935 0.9201  1 C 1.79
Br14 0.8110 0.9720 0.6232  1 C 1.79
Br15 0.8624 0.6520 0.4376  1 C 1.79
Br16 0.8705 0.3782 0.2340  1 Fe 2.33
N1 0.0791 0.0249 0.1536  1 C 1.17
N2 0.1000 0.7910 0.0277  1 C 1.17
N3 0.1746 0.6770 0.3059  1 C 1.17
N4 0.2189 0.0873 0.9189  1 C 1.17
N5 0.7811 0.9127 0.0811  1 C 1.17
N6 0.8254 0.3230 0.6941  1 C 1.17
N7 0.9000 0.2090 0.9723  1 C 1.17
N8 0.9209 0.9751 0.8464  1 C 1.17

=====

5.
Sm3As2Se | PBE | relaxed

Properties
The value obtained for the total magnetization is 0.00 μB/atom. Its excess energy over the best structure of this formula in the dataset is 6 meV per atom. As for the total energy: -6.17 eV/atom. As for the crystal system: trigonal.

a = 4.2008 Å, b = 4.2008 Å, c = 10.3083 Å
α = 90.00°, β = 90.00°, γ = 120.00°
Last column: nearest neighbours and their distance in Å.
Fractional coordinates of all 6 atoms:
Sm1 0.0000 0.0000 0.0000  6 As 2.98
Sm2 0.3333 0.6667 0.6771  3 As 2.91, 3 Se 3.04
Sm3 0.6667 0.3333 0.3229  3 As 2.91, 3 Se 3.04
As1 0.3333 0.6667 0.1672  6 Sm 2.91-2.98
As2 0.6667 0.3333 0.8328  6 Sm 2.91-2.98
Se1 0.0000 0.0000 0.5000  6 Sm 3.04

=====

6.
ErLuReSi2 | PBE | relaxed

Properties
The value obtained for the total magnetization is 0.00 μB/atom. Its excess energy over the best structure of this formula in the dataset is 13 meV per atom. As for the total energy: -7.14 eV/atom. As for the crystal system: monoclinic.

a = 5.7686 Å, b = 5.7686 Å, c = 9.9183 Å
α = 116.48°, β = 116.48°, γ = 42.03°
Last column: nearest neighbours and their distance in Å.
Fractional coordinates of all 10 atoms:
Er1 0.0095 0.0095 0.1805  6 Si 2.87-3.04, 4 Re 3.10-3.13
Er2 0.9905 0.9905 0.8195  6 Si 2.87-3.04, 4 Re 3.10-3.13
Lu1 0.1857 0.1857 0.6116  5 Si 2.89-3.03, 2 Re 3.15
Lu2 0.8143 0.8143 0.3884  5 Si 2.89-3.03, 2 Re 3.15
Re1 0.2727 0.2727 0.1310  4 Si 2.43-2.52
Re2 0.7273 0.7273 0.8690  4 Si 2.43-2.52
Si1 0.3624 0.3624 0.9415  3 Re 2.43-2.49, 1 Si 2.62
Si2 0.4969 0.4969 0.6219  1 Si 2.45, 1 Re 2.52
Si3 0.5031 0.5031 0.3781  1 Si 2.45, 1 Re 2.52
Si4 0.6376 0.6376 0.0585  3 Re 2.43-2.49, 1 Si 2.62

=====

total magnetization of number 2 (Dy2TmSn3Pd3)?
0.00 μB/atom